U3Tl4CrO12, optimized geometry, DFT GGA+U; VASP energy = -155.052 eV for the cell shown; spin magnetization = 4.0 μB/f.u.; space group = Im-3m (229)
1.0
7.387 0.000 0.000
-2.462 6.964 0.000
-2.462 -3.482 6.031
U Tl Cr O
3 4 1 12
Direct
0.500 0.000 0.500 U
0.500 0.500 0.000 U
0.000 0.500 0.500 U
0.500 0.500 0.500 Tl
0.000 0.000 0.500 Tl
0.500 0.000 0.000 Tl
0.000 0.500 0.000 Tl
0.000 0.000 0.000 Cr
0.250 0.500 0.750 O
0.745 0.000 0.745 O
0.255 0.000 0.255 O
0.750 0.500 0.250 O
0.745 0.745 0.000 O
0.255 0.255 0.000 O
0.750 0.250 0.500 O
0.250 0.750 0.500 O
0.500 0.250 0.750 O
0.000 0.745 0.745 O
0.500 0.750 0.250 O
0.000 0.255 0.255 O